#A
# TmAgSnSe3, relaxed, DFT PBE-GGA
# Crystal system ... orthorhombic
data_TmAgSnSe3
_chemical_formula_sum 'Tm4 Ag4 Sn4 Se12'
_cell_length_a 12.579
_cell_length_b 4.044
_cell_length_c 12.574
_cell_angle_alpha 90.00
_cell_angle_beta 90.00
_cell_angle_gamma 90.00
_symmetry_space_group_name_H-M 'P n m a'
_symmetry_Int_Tables_number 62
loop_
_symmetry_equiv_pos_as_xyz
'x,y,z'
'-x,-y,-z'
'-x+1/2,-y,z+1/2'
'x+1/2,y,-z+1/2'
'x+1/2,-y+1/2,-z+1/2'
'-x+1/2,y+1/2,z+1/2'
'-x,y+1/2,-z'
'x,-y+1/2,z'
loop_
_atom_site_label
_atom_site_type_symbol
_atom_site_fract_x
_atom_site_fract_y
_atom_site_fract_z
Tm1 Tm 0.014 0.250 0.155
Ag1 Ag 0.198 0.750 0.395
Sn1 Sn 0.181 0.250 0.578
Se1 Se 0.010 0.750 0.315
Se2 Se 0.105 0.250 0.949
Se3 Se 0.239 0.250 0.209



#B
# TmAgSnSe3, relaxed, DFT PBE-GGA
# Crystal system ... orthorhombic
data_TmAgSnSe3
_chemical_formula_sum 'Tm4 Ag4 Sn4 Se12'
_cell_length_a 4.077
_cell_length_b 13.606
_cell_length_c 10.546
_cell_angle_alpha 90.00
_cell_angle_beta 90.00
_cell_angle_gamma 90.00
_symmetry_space_group_name_H-M 'C m c m'
_symmetry_Int_Tables_number 63
_symmetry_space_group_name_Hall '-C 2c 2'
loop_
_atom_site_label
_atom_site_type_symbol
_atom_site_fract_x
_atom_site_fract_y
_atom_site_fract_z
Tm1 Tm 0.000 0.000 0.000
Ag1 Ag 0.000 0.467 0.250
Sn1 Sn 0.000 0.240 0.750
Se1 Se 0.000 0.094 0.250
Se2 Se 0.000 0.356 0.049



Which is most stable, and by how much? #A, by 9 meV/atom.